Record 1
# LaZr3Pb GGA-PBE optimized geometry
data_LaZr3Pb
_cell_length_a 5.169
_cell_length_b 5.169
_cell_length_c 5.169
_cell_angle_alpha 90.00
_cell_angle_beta 90.00
_cell_angle_gamma 90.00
_space_group_name_H-M_alt 'P 1'
_space_group_IT_number 1
_space_group_name_Hall 'P 1'
loop_
_atom_site_label
_atom_site_type_symbol
_atom_site_fract_x
_atom_site_fract_y
_atom_site_fract_z
La1 La 0.000 0.000 0.000
Zr1 Zr 0.000 0.000 0.500
Zr2 Zr 0.000 0.500 0.000
Zr3 Zr 0.500 0.000 0.000
Pb1 Pb 0.500 0.500 0.500
# total moment	0.00	μB/cell
# relative energy among the computed polymorphs	0.258	eV/atom
# total DFT energy (no corrections)	-28.87	eV/f.u.
# E_form	1082	meV/atom

---

Record 2
# K3SrSi GGA-PBE optimized geometry
data_K3SrSi
_cell_length_a 7.719
_cell_length_b 7.719
_cell_length_c 7.719
_cell_angle_alpha 90.00
_cell_angle_beta 90.00
_cell_angle_gamma 90.00
_space_group_name_H-M_alt 'P 1'
_space_group_IT_number 1
_space_group_name_Hall 'P 1'
loop_
_atom_site_label
_atom_site_type_symbol
_atom_site_fract_x
_atom_site_fract_y
_atom_site_fract_z
K1 K 0.000 0.000 0.500
K2 K 0.000 0.500 0.000
K3 K 0.500 0.000 0.000
Sr1 Sr 0.000 0.000 0.000
Si1 Si 0.500 0.500 0.500
# total moment	1.05	μB/cell
# relative energy among the computed polymorphs	0.677	eV/atom
# E_form (uncorrected)	1057	meV per atom
# total DFT energy (no corrections)	-5.11	eV/f.u.

---

Record 3
# MnSnRh GGA-PBE optimized geometry
data_MnSnRh
_cell_length_a 4.909
_cell_length_b 4.909
_cell_length_c 4.909
_cell_angle_alpha 139.02
_cell_angle_beta 139.02
_cell_angle_gamma 59.34
_space_group_name_H-M_alt 'P 1'
_space_group_IT_number 1
_space_group_name_Hall 'P 1'
loop_
_atom_site_label
_atom_site_type_symbol
_atom_site_fract_x
_atom_site_fract_y
_atom_site_fract_z
Mn1 Mn 0.000 0.000 0.000
Sn1 Sn 0.675 0.675 0.000
Rh1 Rh 0.341 0.341 0.000
# total moment	4.30	μB/cell
# total DFT energy (no corrections)	-20.97	eV/f.u.
# E_form	-148	meV/atom

---

Record 4
# V4SiC GGA-PBE optimized geometry
data_V4SiC
_cell_length_a 5.227
_cell_length_b 5.227
_cell_length_c 3.053
_cell_angle_alpha 90.00
_cell_angle_beta 90.00
_cell_angle_gamma 92.59
_space_group_name_H-M_alt 'P 1'
_space_group_IT_number 1
_space_group_name_Hall 'P 1'
loop_
_atom_site_label
_atom_site_type_symbol
_atom_site_fract_x
_atom_site_fract_y
_atom_site_fract_z
V1 V 0.235 0.765 0.000
V2 V 0.323 0.323 0.500
V3 V 0.677 0.677 0.500
V4 V 0.765 0.235 0.000
Si1 Si 0.000 0.000 0.500
C1 C 0.500 0.500 0.000
# total moment	0.00	μB/cell
# E_form (uncorrected)	51	meV per atom
# total DFT energy (no corrections)	-50.81	eV/f.u.

---

Record 5
# Cu2PBr GGA-PBE optimized geometry
data_Cu2PBr
_cell_length_a 6.382
_cell_length_b 6.382
_cell_length_c 6.382
_cell_angle_alpha 35.03
_cell_angle_beta 35.03
_cell_angle_gamma 35.03
_space_group_name_H-M_alt 'P 1'
_space_group_IT_number 1
_space_group_name_Hall 'P 1'
loop_
_atom_site_label
_atom_site_type_symbol
_atom_site_fract_x
_atom_site_fract_y
_atom_site_fract_z
Cu1 Cu 0.000 0.000 0.000
Cu2 Cu 0.253 0.253 0.253
P1 P 0.667 0.667 0.667
Br1 Br 0.501 0.501 0.501
# total moment	0.00	μB/cell
# relative energy among the computed polymorphs	0.126	eV/atom
# E_form (uncorrected)	113	meV per atom
# total DFT energy (no corrections)	-14.82	eV/f.u.

---

Record 6
# KAlSCl2 GGA-PBE optimized geometry
data_KAlSCl2
_cell_length_a 5.037
_cell_length_b 5.037
_cell_length_c 4.523
_cell_angle_alpha 90.00
_cell_angle_beta 90.00
_cell_angle_gamma 90.00
_space_group_name_H-M_alt 'P 1'
_space_group_IT_number 1
_space_group_name_Hall 'P 1'
loop_
_atom_site_label
_atom_site_type_symbol
_atom_site_fract_x
_atom_site_fract_y
_atom_site_fract_z
K1 K 0.000 0.000 0.000
Al1 Al 0.500 0.500 0.500
S1 S 0.500 0.500 0.000
Cl1 Cl 0.000 0.500 0.500
Cl2 Cl 0.500 0.000 0.500
# total moment	0.00	μB/cell
# relative energy among the computed polymorphs	0.000	eV/atom
# E_form (uncorrected)	-1272	meV per atom
# total DFT energy (no corrections)	-19.02	eV/f.u.

---

Question: Number 6 is which compound?
Answer: KAlSCl2

---

Copy entry 2 word for word.
# K3SrSi GGA-PBE optimized geometry
data_K3SrSi
_cell_length_a 7.719
_cell_length_b 7.719
_cell_length_c 7.719
_cell_angle_alpha 90.00
_cell_angle_beta 90.00
_cell_angle_gamma 90.00
_space_group_name_H-M_alt 'P 1'
_space_group_IT_number 1
_space_group_name_Hall 'P 1'
loop_
_atom_site_label
_atom_site_type_symbol
_atom_site_fract_x
_atom_site_fract_y
_atom_site_fract_z
K1 K 0.000 0.000 0.500
K2 K 0.000 0.500 0.000
K3 K 0.500 0.000 0.000
Sr1 Sr 0.000 0.000 0.000
Si1 Si 0.500 0.500 0.500
# total moment	1.05	μB/cell
# relative energy among the computed polymorphs	0.677	eV/atom
# E_form (uncorrected)	1057	meV per atom
# total DFT energy (no corrections)	-5.11	eV/f.u.